# BeAgIrAu, relaxed, DFT PBE
data_BeAgIrAu
_space_group_name_H-M_alt 'I m m 2'
_space_group_IT_number 44
_space_group_name_Hall 'I 2 -2'
_cell_length_a 2.920
_cell_length_b 4.593
_cell_length_c 8.780
_cell_angle_alpha 90.00
_cell_angle_beta 90.00
_cell_angle_gamma 90.00
loop_
_atom_site_label
_atom_site_type_symbol
_atom_site_fract_x
_atom_site_fract_y
_atom_site_fract_z
_atom_site_occupancy
Be1 Be 0.000 0.000 0.000 1
Ag1 Ag 0.000 0.000 0.488 1
Ir1 Ir 0.000 0.500 0.697 1
Au1 Au 0.000 0.500 0.279 1
# - Volume: 118 Å³ per cell
# - Density of states at the Fermi level: 3.3 states/eV per cell
# - E above lowest polymorph: 0.1645 eV/atom
# - Calculated total energy: -0.3387 Ry per atom
# - ΔE_f: 0.071 eV per atom